1.
A relaxed HgAuIO2 crystal. Source: Alexandria, functional PBE.

D(E_F): 5.56 states/eV/f.u.
M_tot: 0.26 μB/atom
offset from the most stable computed form: 126.1 meV/atom
E: -12.6 eV per cell
raw formation energy: 0.49 eV/atom

Geometry as CIF:
```
data_HgAuIO2
_chemical_formula_sum 'Hg1 Au1 I1 O2'
_symmetry_space_group_name_H-M 'P 4/m m m'
_symmetry_Int_Tables_number 123
_symmetry_space_group_name_Hall '-P 4 2'
_cell_length_a 4.120
_cell_length_b 4.120
_cell_length_c 7.726
_cell_angle_alpha 90.00
_cell_angle_beta 90.00
_cell_angle_gamma 90.00
loop_
_atom_site_label
_atom_site_type_symbol
_atom_site_fract_x
_atom_site_fract_y
_atom_site_fract_z
_atom_site_occupancy
Hg1 Hg 0.000 0.000 0.000 1
Au1 Au 0.500 0.500 0.500 1
I1 I 0.000 0.000 0.500 1
O1 O 0.000 0.500 0.000 1
```

=====

2.
A relaxed HgAuIO2 crystal. Source: Alexandria, functional PBE.

D(E_F): 2.47 states/eV/f.u.
M_tot: 0.28 μB/atom
offset from the most stable computed form: 0.0 meV/atom
E: -13.2 eV per cell
raw formation energy: 0.36 eV/atom

Geometry as CIF:
```
data_HgAuIO2
_chemical_formula_sum 'Hg1 Au1 I1 O2'
_symmetry_space_group_name_H-M 'P 4/m m m'
_symmetry_Int_Tables_number 123
_symmetry_space_group_name_Hall '-P 4 2'
_cell_length_a 4.102
_cell_length_b 4.102
_cell_length_c 7.295
_cell_angle_alpha 90.00
_cell_angle_beta 90.00
_cell_angle_gamma 90.00
loop_
_atom_site_label
_atom_site_type_symbol
_atom_site_fract_x
_atom_site_fract_y
_atom_site_fract_z
_atom_site_occupancy
Hg1 Hg 0.000 0.000 0.000 1
Au1 Au 0.500 0.500 0.500 1
I1 I 0.500 0.500 0.000 1
O1 O 0.000 0.500 0.500 1
```

=====

3.
A relaxed HgAuI2O crystal. Source: Alexandria, functional PBE.

D(E_F): 6.61 states/eV/f.u.
M_tot: 0.00 μB/atom
offset from the most stable computed form: 0.0 meV/atom
E: -10.5 eV per cell
raw formation energy: 0.23 eV/atom

Geometry as CIF:
```
data_HgAuI2O
_chemical_formula_sum 'Hg1 Au1 I2 O1'
_symmetry_space_group_name_H-M 'P 4/m m m'
_symmetry_Int_Tables_number 123
_symmetry_space_group_name_Hall '-P 4 2'
_cell_length_a 5.853
_cell_length_b 5.853
_cell_length_c 4.004
_cell_angle_alpha 90.00
_cell_angle_beta 90.00
_cell_angle_gamma 90.00
loop_
_atom_site_label
_atom_site_type_symbol
_atom_site_fract_x
_atom_site_fract_y
_atom_site_fract_z
_atom_site_occupancy
Hg1 Hg 0.000 0.000 0.000 1
Au1 Au 0.500 0.500 0.500 1
I1 I 0.000 0.500 0.500 1
O1 O 0.500 0.500 0.000 1
```

=====

4.
A relaxed Hg2PbAuI crystal. Source: Alexandria, functional PBE.

D(E_F): 1.26 states/eV/f.u.
M_tot: 0.00 μB/atom
E: -9.6 eV per cell
raw formation energy: -0.09 eV/atom

Geometry as CIF:
```
data_Hg2PbAuI
_chemical_formula_sum 'Hg2 Pb1 Au1 I1'
_symmetry_space_group_name_H-M 'P 4/m m m'
_symmetry_Int_Tables_number 123
_symmetry_space_group_name_Hall '-P 4 2'
_cell_length_a 5.414
_cell_length_b 5.414
_cell_length_c 5.697
_cell_angle_alpha 90.00
_cell_angle_beta 90.00
_cell_angle_gamma 90.00
loop_
_atom_site_label
_atom_site_type_symbol
_atom_site_fract_x
_atom_site_fract_y
_atom_site_fract_z
_atom_site_occupancy
Hg1 Hg 0.000 0.500 0.000 1
Pb1 Pb 0.000 0.000 0.500 1
Au1 Au 0.000 0.000 0.000 1
I1 I 0.500 0.500 0.500 1
```

=====

5.
A relaxed Hg6PtAuI2 crystal. Source: Alexandria, functional PBE.

D(E_F): 2.95 states/eV/f.u.
M_tot: 0.00 μB/atom
E: -29.7 eV per cell
raw formation energy: -0.06 eV/atom

Geometry as CIF:
```
data_Hg6PtAuI2
_chemical_formula_sum 'Hg12 Pt2 Au2 I4'
_symmetry_space_group_name_H-M 'C 1 2/m 1'
_symmetry_Int_Tables_number 12
_symmetry_space_group_name_Hall '-C 2y'
_cell_length_a 11.089
_cell_length_b 8.415
_cell_length_c 6.952
_cell_angle_alpha 90.00
_cell_angle_beta 109.88
_cell_angle_gamma 90.00
loop_
_atom_site_label
_atom_site_type_symbol
_atom_site_fract_x
_atom_site_fract_y
_atom_site_fract_z
_atom_site_occupancy
Hg1 Hg 0.009 0.242 0.252 1
Hg2 Hg 0.250 0.000 0.729 1
Pt1 Pt 0.000 0.000 0.500 1
Au1 Au 0.000 0.500 0.000 1
I1 I 0.242 0.500 0.763 1
```

=====

6.
A relaxed Rb2HgAuI6 crystal. Source: Alexandria, functional PBE.

D(E_F): 7.34 states/eV/f.u.
M_tot: 0.00 μB/atom
offset from the most stable computed form: 26.2 meV/atom
E: -42.8 eV per cell
raw formation energy: -0.66 eV/atom

Geometry as CIF:
```
data_Rb2HgAuI6
_chemical_formula_sum 'Rb4 Hg2 Au2 I12'
_symmetry_space_group_name_H-M 'I 4/m m m'
_symmetry_Int_Tables_number 139
_symmetry_space_group_name_Hall '-I 4 2'
_cell_length_a 8.537
_cell_length_b 8.537
_cell_length_c 12.094
_cell_angle_alpha 90.00
_cell_angle_beta 90.00
_cell_angle_gamma 90.00
loop_
_atom_site_label
_atom_site_type_symbol
_atom_site_fract_x
_atom_site_fract_y
_atom_site_fract_z
_atom_site_occupancy
Rb1 Rb 0.000 0.500 0.250 1
Hg1 Hg 0.000 0.000 0.000 1
Au1 Au 0.000 0.000 0.500 1
I1 I 0.000 0.000 0.228 1
I2 I 0.230 0.230 0.500 1
```